1.
GGA-PBE AcPm2NdIn4, optimized geometry; ΔH_f (0 K) = -0.46 eV/atom; raw total energy = -4.122 eV per atom; crystal system = trigonal
1.0
2.7727 1.6008 9.0765
-2.7727 1.6008 9.0765
0.0000 -3.2017 9.0765
Ac Pm Nd In
1 2 1 4
Cartesian
0.0000 0.0000 0.0000
0.0000 0.0000 6.8046
0.0000 0.0000 20.4248
0.0000 0.0000 13.6147
0.0000 0.0000 3.4678
0.0000 0.0000 10.2851
0.0000 0.0000 16.9443
0.0000 0.0000 23.7616



2.
GGA-PBE GePbI, optimized geometry; E_form (uncorrected) = -0.5 eV/f.u.; raw total energy = -3.446 eV per atom; crystal system = triclinic
1.0
4.2965 0.0000 0.0000
2.1436 3.7687 0.0000
0.0729 0.2668 12.6443
Ge Pb I
2 2 2
Cartesian
1.0747 0.6340 0.4673
5.4383 3.4015 12.1770
3.2828 2.1378 10.2642
3.2302 1.8978 2.3801
1.1397 0.8717 8.2312
5.3733 3.1639 4.4132



3.
GGA-PBE TlBr2Cl, optimized geometry; E_form (uncorrected) = -1.3 eV/f.u.; energy above the lowest structure with this stoichiometry = 166.3 meV/atom; raw total energy = -2.227 eV per atom; crystal system = tetragonal
1.0
4.2235 0.0000 0.0000
0.0000 4.2235 0.0000
0.0000 0.0000 14.8166
Tl Br Cl
2 4 2
Cartesian
0.0000 0.0000 0.0000
2.1117 2.1117 7.4083
0.0000 2.1117 3.7041
0.0000 2.1117 11.1124
2.1117 0.0000 3.7041
2.1117 0.0000 11.1124
0.0000 0.0000 7.4083
2.1117 2.1117 0.0000



4.
GGA-PBE ScOsBr3, optimized geometry; E_form (uncorrected) = 2.5 eV/f.u.; energy above the lowest structure with this stoichiometry = 137.1 meV/atom; raw total energy = -4.019 eV per atom; crystal system = cubic
1.0
5.0086 0.0000 0.0000
0.0000 5.0086 0.0000
0.0000 0.0000 5.0086
Sc Os Br
1 1 3
Cartesian
0.0000 0.0000 0.0000
2.5043 2.5043 2.5043
0.0000 2.5043 2.5043
2.5043 0.0000 2.5043
2.5043 2.5043 0.0000



5.
GGA-PBE K4Ac3InS8, optimized geometry; E_form (uncorrected) = -25.5 eV/f.u.; raw total energy = -4.873 eV per atom; crystal system = trigonal
1.0
4.3084 2.4874 7.4616
-4.3084 2.4874 7.4616
0.0000 -4.9749 7.4616
K Ac In S
4 3 1 8
Cartesian
0.0000 0.0000 0.0000
-2.1542 -1.2437 7.4616
-2.1542 1.2437 14.9233
0.0000 2.4874 7.4616
-4.3084 0.0000 11.1924
-2.1542 1.2437 3.7308
2.1542 1.2437 3.7308
0.0000 0.0000 11.1925
0.0000 0.0000 5.3492
-2.0179 -1.1650 12.7498
0.0000 -2.3300 9.6351
-2.0179 1.1650 9.6351
2.0179 -1.1650 12.7498
0.0000 2.3300 12.7498
2.0179 1.1650 9.6351
0.0000 0.0000 17.0357



6.
GGA-PBE KGdH, optimized geometry; raw total energy = -6.104 eV per atom; crystal system = orthorhombic
1.0
13.8986 0.0000 0.0000
0.0000 3.6025 0.0000
0.0000 0.0000 6.2386
K Gd H
4 4 4
Cartesian
1.7508 0.0000 0.0000
1.7508 1.8012 3.1193
12.1478 0.0000 0.0000
12.1478 1.8012 3.1193
5.3755 0.0000 4.1428
5.3755 1.8012 1.0235
8.5231 0.0000 4.1428
8.5231 1.8012 1.0235
0.0000 0.0000 4.1598
0.0000 1.8012 1.0405
6.9493 0.0000 6.2220
6.9493 1.8012 3.1027



7.
GGA-PBE Ta2HgOs, optimized geometry; ΔH_f (0 K) = 0.30 eV/atom; raw total energy = -8.504 eV per atom; crystal system = tetragonal
1.0
4.0138 0.0000 0.0000
0.0000 4.0138 0.0000
0.0000 0.0000 8.6981
Ta Hg Os
4 2 2
Cartesian
0.0000 0.0000 0.0000
0.0000 2.0069 2.1745
2.0069 0.0000 6.5236
2.0069 2.0069 4.3490
0.0000 2.0069 6.5236
2.0069 0.0000 2.1745
0.0000 0.0000 4.3490
2.0069 2.0069 0.0000



8.
GGA-PBE PmPrErGa, optimized geometry; ΔH_f (0 K) = -0.04 eV/atom; raw total energy = -4.325 eV per atom; crystal system = cubic
1.0
7.6645 0.0000 0.0000
0.0000 7.6645 0.0000
0.0000 0.0000 7.6645
Pm Pr Er Ga
4 4 4 4
Cartesian
0.0000 0.0000 0.0000
0.0000 3.8322 3.8322
3.8322 0.0000 3.8322
3.8322 3.8322 0.0000
1.9161 1.9161 1.9161
1.9161 5.7484 5.7484
5.7484 1.9161 5.7484
5.7484 5.7484 1.9161
1.9161 1.9161 5.7484
1.9161 5.7484 1.9161
5.7484 1.9161 1.9161
5.7484 5.7484 5.7484
0.0000 0.0000 3.8322
0.0000 3.8322 0.0000
3.8322 0.0000 0.0000
3.8322 3.8322 3.8322



9.
GGA-PBE Hf4Mg2Cd, optimized geometry; ΔH_f (0 K) = 0.00 eV/atom; raw total energy = -6.276 eV per atom; crystal system = orthorhombic
1.0
3.0724 0.0000 0.0000
0.0000 33.7961 0.0000
0.0000 0.0000 3.0773
Hf Mg Cd
8 4 2
Cartesian
0.0000 2.4186 0.0000
0.0000 12.3418 1.5386
0.0000 21.4543 1.5386
0.0000 31.3775 0.0000
1.5362 4.5563 1.5386
1.5362 14.4795 0.0000
1.5362 19.3166 0.0000
1.5362 29.2398 1.5386
0.0000 7.0513 0.0000
0.0000 26.7448 0.0000
1.5362 9.8468 0.0000
1.5362 23.9493 0.0000
0.0000 16.8980 1.5386
1.5362 0.0000 1.5386



10.
GGA-PBE BaLi2AsS4, optimized geometry; E_form (uncorrected) = -8.3 eV/f.u.; raw total energy = -4.402 eV per atom; crystal system = tetragonal
1.0
6.7513 0.0000 0.0000
0.0000 6.7513 0.0000
0.0000 0.0000 8.2665
Ba Li As S
2 4 2 8
Cartesian
0.0000 0.0000 0.0000
3.3756 3.3756 4.1333
0.0000 3.3756 2.0666
0.0000 3.3756 6.1999
3.3756 0.0000 2.0666
3.3756 0.0000 6.1999
0.0000 0.0000 4.1333
3.3756 3.3756 0.0000
1.3337 1.3337 2.7528
1.3337 5.4175 5.5137
2.0419 2.0419 6.8861
2.0419 4.7094 1.3805
4.7094 2.0419 1.3805
4.7094 4.7094 6.8861
5.4175 1.3337 5.5137
5.4175 5.4175 2.7528



11.
GGA-PBE Nd2Si4NiPt3, optimized geometry; E_form (uncorrected) = -10.4 eV/f.u.; raw total energy = -6.552 eV per atom; crystal system = tetragonal
1.0
4.2273 0.0000 0.0000
0.0000 4.2273 0.0000
0.0000 0.0000 9.8532
Nd Si Ni Pt
2 4 1 3
Cartesian
0.0000 2.1136 2.4534
2.1136 0.0000 7.3998
0.0000 0.0000 4.9266
0.0000 2.1136 8.6171
2.1136 0.0000 1.2360
2.1136 2.1136 4.9266
2.1136 2.1136 0.0000
0.0000 0.0000 0.0000
0.0000 2.1136 6.1505
2.1136 0.0000 3.7026



12.
GGA-PBE Cs2BaPmI6, optimized geometry; E_form (uncorrected) = -14.6 eV/f.u.; raw total energy = -3.224 eV per atom; crystal system = orthorhombic
1.0
8.9101 0.0000 0.0000
0.0000 13.0260 0.0000
0.0000 0.0000 9.5779
Cs Ba Pm I
4 2 2 12
Cartesian
2.2275 0.5315 1.9085
2.2275 5.9815 1.9085
6.6826 7.0445 7.6694
6.6826 12.4945 7.6694
2.2275 3.2565 6.8804
6.6826 9.7695 2.6975
2.2275 9.7695 7.4550
6.6826 3.2565 2.1229
0.0378 3.2565 4.2805
0.0707 9.7695 0.1588
2.2275 6.6288 7.4349
2.2275 12.9102 7.4349
4.3843 9.7695 0.1588
4.4172 3.2565 4.2805
4.4928 9.7695 5.2975
4.5258 3.2565 9.4192
6.6826 0.1158 2.1431
6.6826 6.3972 2.1431
8.8394 3.2565 9.4192
8.8723 9.7695 5.2975